[1]
Here is a geometry-optimized Ba8SbAs3I3 structure from the Alexandria database. Energies are from GGA-PBE.

abc: 9.8250 9.8248 10.0400
angles: 119.31 90.00 120.00
With the nearest neighbours (Å) after each atom.
Fractional positions:
Ba (0.2648, 0.5296, 0.2946)  3 As 3.31
Ba (0.7352, 0.4704, 0.7054)  3 As 3.31
Ba (0.7572, 0.5143, 0.2889)  2 As 3.29, 1 Sb 3.42
Ba (0.2428, 0.4857, 0.7111)  2 As 3.29, 1 Sb 3.42
Ba (0.7572, 0.0316, 0.2890)  2 As 3.29, 1 Sb 3.41
Ba (0.2428, 0.9684, 0.7110)  2 As 3.29, 1 Sb 3.41
Ba (0.2744, 0.0316, 0.2890)  2 As 3.29, 1 Sb 3.41
Ba (0.7256, 0.9684, 0.7110)  2 As 3.29, 1 Sb 3.41
Sb (0.0000, 0.0000, 0.5000)  6 Ba 3.41-3.42
As (0.5000, 0.0000, 0.5000)  6 Ba 3.29-3.31
As (0.5000, 0.5000, 0.5000)  6 Ba 3.29-3.31
As (0.0000, 0.5000, 0.5000)  6 Ba 3.29-3.31
I (0.0000, 0.0000, 0.0000)  6 Ba 3.74-3.75
I (0.0000, 0.5000, 0.0000)  6 Ba 3.74-3.75
I (0.5000, 0.5000, 0.0000)  6 Ba 3.74-3.75

**E**: -3.866 eV per atom
**Symmetry**: R-3m, No. 166
**Formation energy from raw total energies**: -1326 meV per atom



[2]
Here is a geometry-optimized TiAgTe6 structure from the Alexandria database. Energies are from GGA-PBE.

abc: 6.3918 6.3918 7.1338
angles: 101.16 101.16 102.97
With the nearest neighbours (Å) after each atom.
Fractional positions:
Ti (0.0000, 0.0000, 0.0000)  6 Te 2.73-2.86
Ag (0.5000, 0.5000, 0.5000)  4 Te 2.79
Te (0.1387, 0.1387, 0.6759)  1 Te 2.78, 1 Ti 2.86
Te (0.4399, 0.1352, 0.1876)  1 Ti 2.73, 1 Ag 2.79, 1 Te 3.05
Te (0.8613, 0.8613, 0.3241)  1 Te 2.78, 1 Ti 2.86
Te (0.8648, 0.5601, 0.8124)  1 Ti 2.73, 1 Ag 2.79, 1 Te 3.05
Te (0.5601, 0.8648, 0.8124)  1 Ti 2.73, 1 Ag 2.79, 1 Te 3.05
Te (0.1352, 0.4399, 0.1876)  1 Ti 2.73, 1 Ag 2.79, 1 Te 3.05

**E**: -3.785 eV per atom
**Symmetry**: C2/m, No. 12
**Formation energy from raw total energies**: -85 meV per atom



[3]
Here is a geometry-optimized LiMn2Al structure from the Alexandria database. Energies are from GGA-PBE.

abc: 4.2149 4.2149 2.9740
angles: 90.00 90.00 90.00
With the nearest neighbours (Å) after each atom.
Fractional positions:
Al (0.5000, 0.0000, 0.5000)  8 Mn 2.58
Li (0.0000, 0.5000, 0.5000)  8 Mn 2.58
Mn (0.0000, 0.0000, 0.0000)  4 Al 2.58, 4 Li 2.58
Mn (0.5000, 0.5000, 0.0000)  4 Li 2.58, 4 Al 2.58

**E**: -5.918 eV per atom
**Symmetry**: P4/mmm, No. 123



Q: E of number 1 (Ba8SbAs3I3)?
A: -3.866 eV per atom



Q: E of number 1 (Ba8SbAs3I3)?
A: -3.866 eV per atom



Q: Which value of E does entry 1 give?
A: -3.866 eV per atom



Q: What is the E in the first record?
A: -3.866 eV per atom